Entry 1:
# NaZnPIr

A relaxed structure of NaZnPIr (PBE-GGA, Alexandria via LeMat-Bulk).

a = 3.9059 Å, b = 3.9059 Å, c = 10.9232 Å
α = 90.00°, β = 90.00°, γ = 90.00°
With the nearest neighbours (Å) after each atom.
Space group P4/nmm (No. 129, origin choice 2)
Unique sites:
Na 0.2500 0.2500 0.2448  4 P 3.12, 4 Zn 3.31, 4 Ir 3.40
Zn 0.2500 0.7500 0.0000  4 Zn 2.76
P 0.2500 0.2500 0.6219  4 Ir 2.36
Ir 0.2500 0.7500 0.5000  4 P 2.36

=====

Entry 2:
# NaZrPIr2

A relaxed structure of NaZrPIr2 (PBE-GGA, Alexandria via LeMat-Bulk).

a = 4.4753 Å, b = 4.4753 Å, c = 4.8349 Å
α = 90.00°, β = 90.00°, γ = 90.00°
With the nearest neighbours (Å) after each atom.
Space group P4/mmm (No. 123)
Unique sites:
Na 0.0000 0.0000 0.0000  4 Zr 3.16, 8 Ir 3.29
Zr 0.5000 0.5000 0.0000  2 P 2.42
P 0.5000 0.5000 0.5000  4 Ir 2.24, 2 Zr 2.42
Ir 0.0000 0.5000 0.5000  2 P 2.24

=====

Entry 3:
# NaPa2Ir

A relaxed structure of NaPa2Ir (PBE-GGA, Alexandria via LeMat-Bulk).

a = 3.5259 Å, b = 3.5259 Å, c = 32.9679 Å
α = 90.00°, β = 90.00°, γ = 120.00°
With the nearest neighbours (Å) after each atom.
Space group R-3m (No. 166, hexagonal axes)
Unique sites:
Na 0.0000 0.0000 0.0000  6 Na 3.53, 2 Pa 3.61
Pa 0.0000 0.0000 0.1096  3 Ir 2.77
Ir 0.0000 0.0000 0.5000  6 Pa 2.77

=====

Number 1: formation enthalpy at 0 K -0.3000 eV per atom, calculated volume 166.6 Å³ per cell. Number 2: formation enthalpy at 0 K 0.1213 eV per atom, calculated volume 96.8 Å³ per cell. Number 3: formation enthalpy at 0 K 0.1142 eV per atom, calculated volume 354.9 Å³ per cell.